1.
The following is a DFT calculation (PBE-GGA) of a relaxed CsPdI5 crystal.

Summary:
Energy relative to the elements, uncorrected = -429 meV per atom
Theoretical density = 4.4 g/cm3
Space group = Imm2 (44)

a b c (Å): 8.5407 7.5244 7.5244
angles (deg): 70.23 55.42 55.42
With the nearest neighbours (Å) after each atom.
Positions (direct):
Cs (0.7540, 0.0000, 0.0000)  4 I 3.94, 2 Pd 4.41
Pd (0.6557, 0.5000, 0.5000)  5 I 2.66-2.69
I (0.9676, 0.1989, 0.1989)  1 Pd 2.67
I (0.9668, 0.5000, 0.5000)  1 Pd 2.66
I (0.3653, 0.8011, 0.8011)  1 Pd 2.67
I (0.4106, 0.3040, 0.6960)  1 Pd 2.69
I (0.4106, 0.6960, 0.3040)  1 Pd 2.69

***

2.
The following is a DFT calculation (PBE-GGA) of a relaxed CsPd2I crystal.

Summary:
Energy relative to the elements, uncorrected = 215 meV per atom
Theoretical density = 7.5 g/cm3
Space group = Fm-3m (225)

a b c (Å): 5.2806 5.2806 5.2806
angles (deg): 60.00 60.00 60.00
With the nearest neighbours (Å) after each atom.
Positions (direct):
Cs (0.5000, 0.5000, 0.5000)  8 Pd 3.23
I (0.0000, 0.0000, 0.0000)  8 Pd 3.23
Pd (0.2500, 0.2500, 0.2500)  4 Cs 3.23, 4 I 3.23
Pd (0.7500, 0.7500, 0.7500)  4 Cs 3.23, 4 I 3.23

***

3.
The following is a DFT calculation (PBE-GGA) of a relaxed Cs2PdI5 crystal.

Summary:
Energy relative to the elements, uncorrected = -849 meV per atom
Theoretical density = 4.4 g/cm3
Space group = I4mm (107)

a b c (Å): 8.0356 8.0356 8.0356
angles (deg): 95.43 116.92 116.92
With the nearest neighbours (Å) after each atom.
Positions (direct):
Cs (0.5000, 0.2401, 0.7401)  10 I 4.02-4.22
Cs (0.5000, 0.7401, 0.2401)  10 I 4.02-4.22
Pd (0.0000, 0.0149, 0.0149)  5 I 2.70-2.79
I (0.5485, 0.7627, 0.7627)  1 Pd 2.70
I (0.0000, 0.7627, 0.2142)  1 Pd 2.70
I (0.0000, 0.2142, 0.7627)  1 Pd 2.70
I (0.4515, 0.2142, 0.2142)  1 Pd 2.70
I (0.0000, 0.2732, 0.2732)  1 Pd 2.79

***

4.
The following is a DFT calculation (PBE-GGA) of a relaxed CsPd2I crystal.

Summary:
Energy relative to the elements, uncorrected = -249 meV per atom
Theoretical density = 5.5 g/cm3
Space group = I4_1/amd (141)

a b c (Å): 5.7531 5.7531 9.5624
angles (deg): 72.49 72.49 90.00
With the nearest neighbours (Å) after each atom.
Positions (direct):
Cs (0.0000, 0.0000, 0.0000)  8 Pd 3.87-3.88, 4 I 4.07
Cs (0.7500, 0.2500, 0.5000)  8 Pd 3.87-3.88, 4 I 4.07
I (0.5000, 0.5000, 0.0000)  4 Pd 2.60
I (0.2500, 0.7500, 0.5000)  4 Pd 2.60
Pd (0.3755, 0.1250, 0.2500)  2 I 2.60, 2 Pd 2.88
Pd (0.3745, 0.6250, 0.2500)  2 I 2.60, 2 Pd 2.88
Pd (0.3750, 0.6245, 0.7500)  2 I 2.60, 2 Pd 2.88
Pd (0.8750, 0.6255, 0.7500)  2 I 2.60, 2 Pd 2.88